VASP calculation (PBE with a Hubbard U) on an optimized crystal structure of NdCo2GeO6.

Calculated values
**M_tot**: 0.70 μB/atom
**Total DFT energy (no corrections)**: -66.58 eV per formula unit
**Space-group type**: No. 1

a = 5.2626 Å, b = 5.2659 Å, c = 5.6961 Å
α = 62.47°, β = 89.97°, γ = 60.05°
Fractional coordinates of all 10 atoms:
Nd 0.0000 0.0000 0.0000
Co 0.2681 0.4651 0.8025
Co 0.7862 0.4280 0.3585
Ge 0.4785 0.0438 0.4337
O 0.0809 0.4669 0.1661
O 0.2091 0.9379 0.6213
O 0.4520 0.9151 0.1655
O 0.5606 0.2316 0.6211
O 0.6323 0.2869 0.1649
O 0.8536 0.5873 0.6211